A relaxed structure of TbPaSnO6, computed with PBE.

Summary:
final energy	-8.19	eV/atom
energy relative to the elements, uncorrected	-2.868	eV/atom
total moment	0.0000	μB per atom

Cell: 5.5688 5.5688 9.5918 Å, 90.00 90.00 120.00°
With the nearest neighbours (Å) after each atom.
Sites, in units of the cell vectors:
1 Tb 0.3333 0.6667 0.2500  6 O 2.30
2 Tb 0.6667 0.3333 0.7500  6 O 2.30
3 Pa 0.0000 0.0000 0.0000  6 O 2.21
4 Pa 0.0000 0.0000 0.5000  6 O 2.21
5 Sn 0.3333 0.6667 0.7500  6 O 2.11
6 Sn 0.6667 0.3333 0.2500  6 O 2.11
7 O 0.0265 0.3415 0.6291  1 Sn 2.11, 1 Pa 2.21, 1 Tb 2.30
8 O 0.0265 0.6850 0.8709  1 Sn 2.11, 1 Pa 2.21, 1 Tb 2.30
9 O 0.3150 0.3415 0.8709  1 Sn 2.11, 1 Pa 2.21, 1 Tb 2.30
10 O 0.3150 0.9735 0.6291  1 Sn 2.11, 1 Pa 2.21, 1 Tb 2.30
11 O 0.3415 0.0265 0.1291  1 Sn 2.11, 1 Pa 2.21, 1 Tb 2.30
12 O 0.3415 0.3150 0.3709  1 Sn 2.11, 1 Pa 2.21, 1 Tb 2.30
13 O 0.6585 0.6850 0.6291  1 Sn 2.11, 1 Pa 2.21, 1 Tb 2.30
14 O 0.6585 0.9735 0.8709  1 Sn 2.11, 1 Pa 2.21, 1 Tb 2.30
15 O 0.6850 0.0265 0.3709  1 Sn 2.11, 1 Pa 2.21, 1 Tb 2.30
16 O 0.6850 0.6585 0.1291  1 Sn 2.11, 1 Pa 2.21, 1 Tb 2.30
17 O 0.9735 0.3150 0.1291  1 Sn 2.11, 1 Pa 2.21, 1 Tb 2.30
18 O 0.9735 0.6585 0.3709  1 Sn 2.11, 1 Pa 2.21, 1 Tb 2.30